# MgSc2Se PBE relaxed
# N(E_F): 6.7 states/eV per cell
# Formation energy without anion corrections: -428 meV/atom
# Excess energy over the best structure of this formula in the dataset: 0.3231 eV per atom
data_MgSc2Se
_symmetry_space_group_name_H-M 'I 4/m m m'
_symmetry_Int_Tables_number 139
_symmetry_space_group_name_Hall '-I 4 2'
_cell_length_a 4.370
_cell_length_b 4.370
_cell_length_c 8.907
_cell_angle_alpha 90.00
_cell_angle_beta 90.00
_cell_angle_gamma 90.00
loop_
_atom_site_label
_atom_site_fract_x
_atom_site_fract_y
_atom_site_fract_z
Mg1 0.000 0.000 0.000
Sc1 0.000 0.500 0.250
Se1 0.000 0.000 0.500


# MgSc3Se PBE relaxed
# N(E_F): 3.6 states/eV per cell
# Formation energy without anion corrections: -426 meV/atom
# Excess energy over the best structure of this formula in the dataset: 0.0000 eV per atom
data_MgSc3Se
_symmetry_space_group_name_H-M 'P m -3 m'
_symmetry_Int_Tables_number 221
_symmetry_space_group_name_Hall '-P 4 2 3'
_cell_length_a 5.046
_cell_length_b 5.046
_cell_length_c 5.046
_cell_angle_alpha 90.00
_cell_angle_beta 90.00
_cell_angle_gamma 90.00
loop_
_atom_site_label
_atom_site_fract_x
_atom_site_fract_y
_atom_site_fract_z
Mg1 0.000 0.000 0.000
Sc1 0.000 0.500 0.500
Se1 0.500 0.500 0.500


# Mg3ScSe PBE relaxed
# N(E_F): 2.2 states/eV per cell
# Formation energy without anion corrections: 100 meV/atom
# Excess energy over the best structure of this formula in the dataset: 0.0000 eV per atom
data_Mg3ScSe
_symmetry_space_group_name_H-M 'P m -3 m'
_symmetry_Int_Tables_number 221
_symmetry_space_group_name_Hall '-P 4 2 3'
_cell_length_a 5.089
_cell_length_b 5.089
_cell_length_c 5.089
_cell_angle_alpha 90.00
_cell_angle_beta 90.00
_cell_angle_gamma 90.00
loop_
_atom_site_label
_atom_site_fract_x
_atom_site_fract_y
_atom_site_fract_z
Mg1 0.000 0.000 0.500
Sc1 0.500 0.500 0.500
Se1 0.000 0.000 0.000


# MgScSe2 PBE relaxed
# N(E_F): 5.4 states/eV per cell
# Formation energy without anion corrections: -995 meV/atom
data_MgScSe2
_symmetry_space_group_name_H-M 'I m m m'
_symmetry_Int_Tables_number 71
_symmetry_space_group_name_Hall '-I 2 2'
_cell_length_a 4.025
_cell_length_b 5.778
_cell_length_c 7.248
_cell_angle_alpha 90.00
_cell_angle_beta 90.00
_cell_angle_gamma 90.00
loop_
_atom_site_label
_atom_site_fract_x
_atom_site_fract_y
_atom_site_fract_z
Mg1 0.000 0.000 0.000
Sc1 0.000 0.000 0.500
Se1 0.000 0.500 0.262


# MgScSe3 PBE relaxed
# N(E_F): 5.8 states/eV per cell
# Formation energy without anion corrections: -380 meV/atom
# Excess energy over the best structure of this formula in the dataset: 0.7983 eV per atom
data_MgScSe3
_symmetry_space_group_name_H-M 'P m -3 m'
_symmetry_Int_Tables_number 221
_symmetry_space_group_name_Hall '-P 4 2 3'
_cell_length_a 4.966
_cell_length_b 4.966
_cell_length_c 4.966
_cell_angle_alpha 90.00
_cell_angle_beta 90.00
_cell_angle_gamma 90.00
loop_
_atom_site_label
_atom_site_fract_x
_atom_site_fract_y
_atom_site_fract_z
Mg1 0.000 0.000 0.000
Sc1 0.500 0.500 0.500
Se1 0.000 0.000 0.500


# MgScSe2 PBE relaxed
# N(E_F): 6.6 states/eV per cell
# Formation energy without anion corrections: -1356 meV/atom
data_MgScSe2
_symmetry_space_group_name_H-M 'R -3 m'
_symmetry_Int_Tables_number 166
_symmetry_space_group_name_Hall '-R 3 2"'
_cell_length_a 3.8130
_cell_length_b 3.8130
_cell_length_c 19.8180
_cell_angle_alpha 90.00
_cell_angle_beta 90.00
_cell_angle_gamma 120.00
loop_
_atom_site_label
_atom_site_fract_x
_atom_site_fract_y
_atom_site_fract_z
Mg1 0.0000 0.0000 0.0000
Sc1 0.0000 0.0000 0.5000
Se1 0.0000 0.0000 0.2517


# MgScSe3 PBE relaxed
# N(E_F): 6.3 states/eV per cell
# Formation energy without anion corrections: -1098 meV/atom
# Excess energy over the best structure of this formula in the dataset: 0.0810 eV per atom
data_MgScSe3
_symmetry_space_group_name_H-M 'C 1 2/m 1'
_symmetry_Int_Tables_number 12
_cell_length_a 7.829
_cell_length_b 11.978
_cell_length_c 6.504
_cell_angle_alpha 90.00
_cell_angle_beta 122.21
_cell_angle_gamma 90.00
loop_
_symmetry_equiv_pos_as_xyz
'x,y,z'
'-x,-y,-z'
'-x,y,-z'
'x,-y,z'
'x+1/2,y+1/2,z'
'-x+1/2,-y+1/2,-z'
'-x+1/2,y+1/2,-z'
'x+1/2,-y+1/2,z'
loop_
_atom_site_label
_atom_site_fract_x
_atom_site_fract_y
_atom_site_fract_z
Mg1 0.000 0.169 0.000
Sc1 0.221 0.500 0.227
Se1 0.039 0.351 0.792
Se2 0.083 0.000 0.297


# Mg3Sc4Se8 PBE relaxed
# N(E_F): 10.0 states/eV per cell
# Formation energy without anion corrections: -1481 meV/atom
data_Mg3Sc4Se8
_symmetry_space_group_name_H-M 'C 1 2/m 1'
_symmetry_Int_Tables_number 12
_cell_length_a 10.925
_cell_length_b 10.933
_cell_length_c 7.725
_cell_angle_alpha 90.00
_cell_angle_beta 134.55
_cell_angle_gamma 90.00
loop_
_symmetry_equiv_pos_as_xyz
'x,y,z'
'-x,-y,-z'
'-x,y,-z'
'x,-y,z'
'x+1/2,y+1/2,z'
'-x+1/2,-y+1/2,-z'
'-x+1/2,y+1/2,-z'
'x+1/2,-y+1/2,z'
loop_
_atom_site_label
_atom_site_fract_x
_atom_site_fract_y
_atom_site_fract_z
Mg1 0.000 0.000 0.000
Mg2 0.250 0.250 0.000
Sc1 0.000 0.500 0.000
Sc2 0.000 0.500 0.500
Sc3 0.250 0.250 0.500
Se1 0.000 0.248 0.000
Se2 0.000 0.249 0.500
Se3 0.248 0.000 0.500
Se4 0.248 0.500 0.996


# MgSc2Se PBE relaxed
# N(E_F): 7.3 states/eV per cell
# Formation energy without anion corrections: -606 meV/atom
# Excess energy over the best structure of this formula in the dataset: 0.1449 eV per atom
data_MgSc2Se
_symmetry_space_group_name_H-M 'C m m m'
_symmetry_Int_Tables_number 65
_symmetry_space_group_name_Hall '-C 2 2'
_cell_length_a 4.170
_cell_length_b 5.165
_cell_length_c 8.227
_cell_angle_alpha 90.00
_cell_angle_beta 90.00
_cell_angle_gamma 90.00
loop_
_atom_site_label
_atom_site_fract_x
_atom_site_fract_y
_atom_site_fract_z
Mg1 0.000 0.000 0.000
Sc1 0.000 0.500 0.288
Se1 0.000 0.000 0.500


# Mg2ScSe3 PBE relaxed
# N(E_F): 11.1 states/eV per cell
# Formation energy without anion corrections: -1293 meV/atom
data_Mg2ScSe3
_symmetry_space_group_name_H-M 'C 1 2/m 1'
_symmetry_Int_Tables_number 12
_cell_length_a 14.580
_cell_length_b 3.850
_cell_length_c 9.387
_cell_angle_alpha 90.00
_cell_angle_beta 105.39
_cell_angle_gamma 90.00
loop_
_symmetry_equiv_pos_as_xyz
'x,y,z'
'-x,-y,-z'
'-x,y,-z'
'x,-y,z'
'x+1/2,y+1/2,z'
'-x+1/2,-y+1/2,-z'
'-x+1/2,y+1/2,-z'
'x+1/2,-y+1/2,z'
loop_
_atom_site_label
_atom_site_fract_x
_atom_site_fract_y
_atom_site_fract_z
Mg1 0.166 0.000 0.333
Mg2 0.167 0.500 0.834
Sc1 0.000 0.000 0.500
Sc2 0.000 0.500 0.000
Se1 0.026 0.500 0.302
Se2 0.140 0.000 0.031
Se3 0.195 0.000 0.640


# MgSc2Se PBE relaxed
# N(E_F): 11.9 states/eV per cell
# Formation energy without anion corrections: -414 meV/atom
# Excess energy over the best structure of this formula in the dataset: 0.3362 eV per atom
data_MgSc2Se
_symmetry_space_group_name_H-M 'I -4 2 d'
_symmetry_Int_Tables_number 122
_symmetry_space_group_name_Hall 'I -4 2bw'
_cell_length_a 7.803
_cell_length_b 7.803
_cell_length_c 6.216
_cell_angle_alpha 90.00
_cell_angle_beta 90.00
_cell_angle_gamma 90.00
loop_
_atom_site_label
_atom_site_fract_x
_atom_site_fract_y
_atom_site_fract_z
Mg1 0.000 0.000 0.000
Sc1 0.208 0.750 0.625
Se1 0.000 0.000 0.500


# MgSc3Se PBE relaxed
# N(E_F): 3.9 states/eV per cell
# Formation energy without anion corrections: 500 meV/atom
# Excess energy over the best structure of this formula in the dataset: 0.9268 eV per atom
data_MgSc3Se
_symmetry_space_group_name_H-M 'P m -3 m'
_symmetry_Int_Tables_number 221
_symmetry_space_group_name_Hall '-P 4 2 3'
_cell_length_a 5.177
_cell_length_b 5.177
_cell_length_c 5.177
_cell_angle_alpha 90.00
_cell_angle_beta 90.00
_cell_angle_gamma 90.00
loop_
_atom_site_label
_atom_site_fract_x
_atom_site_fract_y
_atom_site_fract_z
Mg1 0.000 0.000 0.000
Sc1 0.000 0.000 0.500
Se1 0.500 0.500 0.500